DFT (PBE-GGA) results for crystalline CoGeB2 at its relaxed geometry. Values from VASP.

Values from the calculation:
final energy = -5.066 eV per atom
space-group type = F-43m (216)

Cell and atoms, written as Quantum ESPRESSO input:
```
&SYSTEM
  ibrav = 0, nat = 4, ntyp = 3
/
ATOMIC_SPECIES
B 10.81 B.upf
Co 58.93 Co.upf
Ge 72.64 Ge.upf
CELL_PARAMETERS angstrom
0.0000 2.7103 2.7103
2.7103 0.0000 2.7103
2.7103 2.7103 0.0000
ATOMIC_POSITIONS crystal
B 0.0000 0.0000 0.0000
B 0.7500 0.7500 0.7500
Co 0.2500 0.2500 0.2500
Ge 0.5000 0.5000 0.5000
```

---

DFT (PBE-GGA) results for crystalline CoGeB at its relaxed geometry. Values from VASP.

Values from the calculation:
space-group type = F-43m (216)
excess energy over the best structure of this formula in the dataset = 10.01 kJ/mol of atoms

Cell and atoms, written as Quantum ESPRESSO input:
```
&SYSTEM
  ibrav = 0, nat = 3, ntyp = 3
/
ATOMIC_SPECIES
B 10.81 B.upf
Co 58.93 Co.upf
Ge 72.64 Ge.upf
CELL_PARAMETERS angstrom
2.7488 0.2697 2.4212
-0.7349 0.3291 3.5837
0.7148 -2.7857 2.2847
ATOMIC_POSITIONS crystal
B 0.2500 0.2500 0.2500
Co 0.0000 0.0000 0.0000
Ge 0.7500 0.7500 0.7500
```

---

DFT (PBE-GGA) results for crystalline LaCo2GeB at its relaxed geometry. Values from VASP.

Values from the calculation:
final energy = -6.570 eV per atom
space-group type = I4mm (107)

Cell and atoms, written as Quantum ESPRESSO input:
```
&SYSTEM
  ibrav = 0, nat = 5, ntyp = 4
/
ATOMIC_SPECIES
B 10.81 B.upf
Co 58.93 Co.upf
Ge 72.64 Ge.upf
La 138.91 La.upf
CELL_PARAMETERS angstrom
-4.1094 -2.4572 3.7525
-5.8935 1.3963 0.5684
4.3953 -1.2763 -4.0073
ATOMIC_POSITIONS crystal
B 0.3339 0.3339 0.0000
Co 0.7678 0.2678 0.5000
Co 0.2678 0.7678 0.5000
Ge 0.6412 0.6412 0.0000
La 0.9892 0.9892 0.0000
```

---

DFT (PBE-GGA) results for crystalline NdCo2GeB at its relaxed geometry. Values from VASP.

Values from the calculation:
final energy = -6.531 eV per atom
space-group type = I4mm (107)

Cell and atoms, written as Quantum ESPRESSO input:
```
&SYSTEM
  ibrav = 0, nat = 5, ntyp = 4
/
ATOMIC_SPECIES
B 10.81 B.upf
Co 58.93 Co.upf
Ge 72.64 Ge.upf
Nd 144.24 Nd.upf
CELL_PARAMETERS angstrom
-1.8719 1.8719 5.2932
1.8719 -1.8719 5.2932
1.8719 1.8719 -5.2932
ATOMIC_POSITIONS crystal
B 0.3389 0.3389 0.0000
Co 0.7672 0.2672 0.5000
Co 0.2672 0.7672 0.5000
Ge 0.6364 0.6364 0.0000
Nd 0.9902 0.9902 0.0000
```

---

Which formula does entry 3 have?
LaCo2GeB